Computed, not measured: a relaxed MgZrOs2 crystal at the PBE level of DFT.

The density of states at the Fermi level comes out at 3.76 states/eV/f.u. The value obtained for the volume is 16.6 A^3/atom. The value obtained for the calculated formation energy is 0.11 eV per atom. Its energy is -8.038 eV/atom.

```
data_MgZrOs2
_symmetry_space_group_name_H-M 'P 1 m 1'
_symmetry_Int_Tables_number 6
_cell_length_a 2.8533
_cell_length_b 4.4269
_cell_length_c 5.4389
_cell_angle_alpha 90.00
_cell_angle_beta 104.85
_cell_angle_gamma 90.00
loop_
_symmetry_equiv_pos_as_xyz
'x,y,z'
'x,-y,z'
loop_
_atom_site_label
_atom_site_fract_x
_atom_site_fract_y
_atom_site_fract_z
_atom_site_occupancy
Mg1 0.0000 0.0000 0.0000 1
Zr1 0.3256 0.5000 0.7403 1
Os1 0.5484 0.0000 0.4695 1
Os2 0.8254 0.5000 0.2505 1
```

Computed, not measured: a relaxed Mg3ZrOs crystal at the PBE level of DFT.

The density of states at the Fermi level comes out at 5.68 states/eV/f.u. The value obtained for the volume is 23.2 A^3/atom. The offset from the most stable computed form comes out at 0.000 kcal/mol of atoms. The value obtained for the calculated formation energy is 0.72 eV per atom. Its energy is -4.190 eV/atom.

```
data_Mg3ZrOs
_symmetry_space_group_name_H-M 'P m -3 m'
_symmetry_Int_Tables_number 221
_symmetry_space_group_name_Hall '-P 4 2 3'
_cell_length_a 4.8757
_cell_length_b 4.8757
_cell_length_c 4.8757
_cell_angle_alpha 90.00
_cell_angle_beta 90.00
_cell_angle_gamma 90.00
loop_
_atom_site_label
_atom_site_fract_x
_atom_site_fract_y
_atom_site_fract_z
_atom_site_occupancy
Mg1 0.0000 0.0000 0.5000 1
Zr1 0.5000 0.5000 0.5000 1
Os1 0.0000 0.0000 0.0000 1
```

Computed, not measured: a relaxed MgZr6Os crystal at the PBE level of DFT.

The density of states at the Fermi level comes out at 7.74 states/eV/f.u. The value obtained for the volume is 22.8 A^3/atom. The value obtained for the calculated formation energy is 0.27 eV per atom. Its energy is -7.743 eV/atom.

```
data_MgZr6Os
_symmetry_space_group_name_H-M 'C 1 2/m 1'
_symmetry_Int_Tables_number 12
_cell_length_a 5.8672
_cell_length_b 10.8464
_cell_length_c 6.1359
_cell_angle_alpha 90.00
_cell_angle_beta 111.15
_cell_angle_gamma 90.00
loop_
_symmetry_equiv_pos_as_xyz
'x,y,z'
'-x,-y,-z'
'-x,y,-z'
'x,-y,z'
'x+1/2,y+1/2,z'
'-x+1/2,-y+1/2,-z'
'-x+1/2,y+1/2,-z'
'x+1/2,-y+1/2,z'
loop_
_atom_site_label
_atom_site_fract_x
_atom_site_fract_y
_atom_site_fract_z
_atom_site_occupancy
Mg1 0.0000 0.0000 0.0000 1
Zr1 0.0377 0.5000 0.2648 1
Zr2 0.0490 0.2145 0.7550 1
Os1 0.0000 0.0000 0.5000 1
```

Computed, not measured: a relaxed MgZrOs2 crystal at the PBE level of DFT.

The density of states at the Fermi level comes out at 4.63 states/eV/f.u. The value obtained for the volume is 18.1 A^3/atom. The value obtained for the calculated formation energy is 0.64 eV per atom. Its energy is -7.508 eV/atom.

```
data_MgZrOs2
_symmetry_space_group_name_H-M 'I -4 2 d'
_symmetry_Int_Tables_number 122
_symmetry_space_group_name_Hall 'I -4 2bw'
_cell_length_a 7.3064
_cell_length_b 7.3064
_cell_length_c 5.4226
_cell_angle_alpha 90.00
_cell_angle_beta 90.00
_cell_angle_gamma 90.00
loop_
_atom_site_label
_atom_site_fract_x
_atom_site_fract_y
_atom_site_fract_z
_atom_site_occupancy
Mg1 0.0000 0.0000 0.0000 1
Zr1 0.0000 0.0000 0.5000 1
Os1 0.2488 0.7500 0.6250 1
```

Computed, not measured: a relaxed MgZr2Os crystal at the PBE level of DFT.

The density of states at the Fermi level comes out at 3.35 states/eV/f.u. The value obtained for the volume is 21.0 A^3/atom. The value obtained for the calculated formation energy is 0.03 eV per atom. Its energy is -7.448 eV/atom.

```
data_MgZr2Os
_symmetry_space_group_name_H-M 'R -3 m'
_symmetry_Int_Tables_number 166
_symmetry_space_group_name_Hall '-R 3 2"'
_cell_length_a 3.2372
_cell_length_b 3.2372
_cell_length_c 27.8101
_cell_angle_alpha 90.00
_cell_angle_beta 90.00
_cell_angle_gamma 120.00
loop_
_atom_site_label
_atom_site_fract_x
_atom_site_fract_y
_atom_site_fract_z
_atom_site_occupancy
Mg1 0.0000 0.0000 0.0000 1
Zr1 0.0000 0.0000 0.2387 1
Os1 0.0000 0.0000 0.5000 1
```

Computed, not measured: a relaxed Mg2ZrOs crystal at the PBE level of DFT.

The density of states at the Fermi level comes out at 2.30 states/eV/f.u. The value obtained for the volume is 20.0 A^3/atom. The offset from the most stable computed form comes out at 0.000 kcal/mol of atoms. The value obtained for the calculated formation energy is -0.10 eV per atom. Its energy is -5.840 eV/atom.

```
data_Mg2ZrOs
_symmetry_space_group_name_H-M 'P 4 m m'
_symmetry_Int_Tables_number 99
_cell_length_a 3.2835
_cell_length_b 3.2835
_cell_length_c 7.4159
_cell_angle_alpha 90.00
_cell_angle_beta 90.00
_cell_angle_gamma 90.00
loop_
_symmetry_equiv_pos_as_xyz
'x,y,z'
'-y,x,z'
'-x,-y,z'
'y,-x,z'
'-x,y,z'
'y,x,z'
'x,-y,z'
'-y,-x,z'
loop_
_atom_site_label
_atom_site_fract_x
_atom_site_fract_y
_atom_site_fract_z
_atom_site_occupancy
Mg1 0.0000 0.0000 0.0000 1
Mg2 0.5000 0.5000 0.2725 1
Zr1 0.5000 0.5000 0.6831 1
Os1 0.0000 0.0000 0.4903 1
```

Computed, not measured: a relaxed MgZrOs2 crystal at the PBE level of DFT.

The density of states at the Fermi level comes out at 5.34 states/eV/f.u. The value obtained for the volume is 17.1 A^3/atom. The value obtained for the calculated formation energy is 0.31 eV per atom. Its energy is -7.836 eV/atom.

```
data_MgZrOs2
_symmetry_space_group_name_H-M 'P 4 m m'
_symmetry_Int_Tables_number 99
_cell_length_a 3.3982
_cell_length_b 3.3982
_cell_length_c 5.9388
_cell_angle_alpha 90.00
_cell_angle_beta 90.00
_cell_angle_gamma 90.00
loop_
_symmetry_equiv_pos_as_xyz
'x,y,z'
'-y,x,z'
'-x,-y,z'
'y,-x,z'
'-x,y,z'
'y,x,z'
'x,-y,z'
'-y,-x,z'
loop_
_atom_site_label
_atom_site_fract_x
_atom_site_fract_y
_atom_site_fract_z
_atom_site_occupancy
Mg1 0.0000 0.0000 0.0000 1
Zr1 0.5000 0.5000 0.6965 1
Os1 0.0000 0.0000 0.4744 1
Os2 0.5000 0.5000 0.2120 1
```

Computed, not measured: a relaxed Mg2ZrOs crystal at the PBE level of DFT.

The density of states at the Fermi level comes out at 2.41 states/eV/f.u. The value obtained for the volume is 18.7 A^3/atom. The offset from the most stable computed form comes out at 1.124 kcal/mol of atoms. The value obtained for the calculated formation energy is -0.05 eV per atom. Its energy is -5.791 eV/atom.

```
data_Mg2ZrOs
_symmetry_space_group_name_H-M 'I m m m'
_symmetry_Int_Tables_number 71
_symmetry_space_group_name_Hall '-I 2 2'
_cell_length_a 3.3363
_cell_length_b 4.5434
_cell_length_c 9.8778
_cell_angle_alpha 90.00
_cell_angle_beta 90.00
_cell_angle_gamma 90.00
loop_
_atom_site_label
_atom_site_fract_x
_atom_site_fract_y
_atom_site_fract_z
_atom_site_occupancy
Mg1 0.0000 0.0000 0.2243 1
Zr1 0.0000 0.5000 0.0000 1
Os1 0.0000 0.5000 0.5000 1
```